Here is a geometry-optimized LuTl2Au structure from the Alexandria database. Energies are from GGA-PBE.

Cell: 3.486 3.486 10.851 Å, 80.76 80.76 60.00°
Element x y z (fractional)
Tl1 0.097 0.097 0.709
Tl2 0.903 0.903 0.291
Lu1 0.000 0.000 0.000
Au1 0.500 0.500 0.500

## Properties
Fermi-level density of states: 3.39 states/eV/cell
Total DFT energy (no corrections): -3.01 eV/atom
ΔE_f: 47.4 kJ/mol of formula units
ρ: 11.6 g/cm³
Crystal system: trigonal